Entry 1:
The following is a PBE calculation of a relaxed structure of LaGdZnOs, from Alexandria.

Cell and atoms, written as POSCAR:
```
LaGdZnOs
1.0
-3.6524 -2.8136 2.0816
1.1945 -3.7262 3.2060
-1.0548 0.4659 4.9254
Zn Gd Os La
1 1 1 1
Direct
0.0000 0.0000 0.0000 Zn
0.7500 0.7500 0.7500 Gd
0.5000 0.5000 0.5000 Os
0.2500 0.2500 0.2500 La
```

Summary:
Magnetic moment (μB/cell): 7.06
E_form (eV per atom): -0.1572
Fermi-level density of states (states/eV/atom): 1.108


Entry 2:
The following is a PBE calculation of a relaxed structure of La2GdP, from Alexandria.

Cell and atoms, written as POSCAR:
```
La2GdP
1.0
3.9153 0.0000 0.0000
1.9576 3.3907 0.0000
1.9576 1.1302 10.4490
P Gd La
1 1 2
Direct
0.5000 0.5000 0.5000 P
0.0000 0.0000 0.0000 Gd
0.1113 0.1113 0.6662 La
0.8887 0.8887 0.3338 La
```

Summary:
Magnetic moment (μB/cell): 7.50
E_form (eV per atom): -0.5191
Fermi-level density of states (states/eV/atom): 2.113


Entry 3:
The following is a PBE calculation of a relaxed structure of LaGdP2, from Alexandria.

Cell and atoms, written as POSCAR:
```
LaGdP2
1.0
-1.4458 3.8990 -0.2759
-1.7255 1.3363 -3.5504
-7.1494 -0.3606 0.8929
P Gd La
2 1 1
Direct
0.2539 0.2539 0.2384 P
0.7461 0.7461 0.7616 P
0.0000 0.0000 0.0000 Gd
0.5000 0.5000 0.5000 La
```

Summary:
Magnetic moment (μB/cell): 6.98
E_form (eV per atom): -1.5757
Fermi-level density of states (states/eV/atom): 0.116


Entry 4:
The following is a PBE calculation of a relaxed structure of LaGdPa, from Alexandria.

Cell and atoms, written as POSCAR:
```
LaGdPa
1.0
-1.8121 1.6966 -2.4067
-0.6389 -3.3431 0.6078
-5.9332 2.2322 6.0410
Gd Pa La
1 1 1
Direct
0.6667 0.3333 0.3123 Gd
0.0000 0.0000 0.0027 Pa
0.3333 0.6667 0.6851 La
```

Summary:
Magnetic moment (μB/cell): 7.37
E_form (eV per atom): 0.1490
Fermi-level density of states (states/eV/atom): 1.637


Entry 5:
The following is a PBE calculation of a relaxed structure of LaGdPa2, from Alexandria.

Cell and atoms, written as POSCAR:
```
LaGdPa2
1.0
-0.6428 4.3046 2.8510
1.3575 -2.3040 3.7849
4.3939 1.2115 -0.8384
Gd Pa La
1 2 1
Direct
0.5000 0.5000 0.5000 Gd
0.0000 0.0000 0.5000 Pa
0.0000 0.5000 0.0000 Pa
0.5000 0.0000 0.0000 La
```

Summary:
Magnetic moment (μB/cell): 6.64
E_form (eV per atom): 0.2844
Fermi-level density of states (states/eV/atom): 2.418


Entry 6:
The following is a PBE calculation of a relaxed structure of LaGdPa, from Alexandria.

Cell and atoms, written as POSCAR:
```
LaGdPa
1.0
3.4026 0.0000 0.0000
0.0000 3.4026 0.0000
-1.7013 -1.7013 7.8860
Gd Pa La
1 1 1
Direct
0.0158 0.0158 0.0316 Gd
0.6654 0.6654 0.3309 Pa
0.3188 0.3188 0.6375 La
```

Summary:
Magnetic moment (μB/cell): 7.08
E_form (eV per atom): 0.1504
Fermi-level density of states (states/eV/atom): 1.578


Entry 7:
The following is a PBE calculation of a relaxed structure of LaGd2Pb, from Alexandria.

Cell and atoms, written as POSCAR:
```
LaGd2Pb
1.0
4.0999 0.0000 0.0000
0.0000 4.0999 0.0000
0.0000 0.0000 7.4962
Pb Gd La
1 2 1
Direct
0.5000 0.5000 0.5000 Pb
0.0000 0.0000 0.7179 Gd
0.0000 0.0000 0.2821 Gd
0.5000 0.5000 0.0000 La
```

Summary:
Magnetic moment (μB/cell): 15.96
E_form (eV per atom): -0.2457
Fermi-level density of states (states/eV/atom): 1.390
ΔE to the lowest computed polymorph (meV/atom): 100.3


Entry 8:
The following is a PBE calculation of a relaxed structure of LaGdPb, from Alexandria.

Cell and atoms, written as POSCAR:
```
LaGdPb
1.0
3.9089 0.0000 0.0000
0.0000 5.3645 0.0000
0.0000 -2.6822 4.6458
Pb Gd La
1 1 1
Direct
0.0572 0.0000 0.0000 Pb
0.2486 0.6667 0.3333 Gd
0.6941 0.3333 0.6667 La
```

Summary:
Magnetic moment (μB/cell): 7.53
E_form (eV per atom): -0.2750
Fermi-level density of states (states/eV/atom): 1.481
ΔE to the lowest computed polymorph (meV/atom): 103.8


Q: Which formula does entry 5 have?
A: LaGdPa2